(1)
VASP calculation (PBE) on an optimized crystal structure of Ge2TeAs.

Lattice parameters (Å, degrees): 4.314 4.314 8.322 74.98 74.98 60.00
Fractional positions:
As 0.000 0.000 0.000
Te 0.500 0.500 0.500
Ge 0.100 0.100 0.701
Ge 0.900 0.900 0.299

Summary:
ΔE to the lowest computed polymorph ... 1.90 eV per formula unit
DFT total energy ... -3.73 eV/atom
Formation energy without anion corrections ... 2.099 eV per formula unit



(2)
VASP calculation (PBE) on an optimized crystal structure of Ge2TeAs.

Lattice parameters (Å, degrees): 4.990 4.990 4.990 60.00 60.00 60.00
Fractional positions:
As 0.000 0.000 0.000
Te 0.500 0.500 0.500
Ge 0.250 0.250 0.250
Ge 0.750 0.750 0.750

Summary:
ΔE to the lowest computed polymorph ... 1.24 eV per formula unit
DFT total energy ... -3.90 eV/atom
Formation energy without anion corrections ... 1.431 eV per formula unit



(3)
VASP calculation (PBE) on an optimized crystal structure of Ge2Te5As2.

Lattice parameters (Å, degrees): 4.158 4.158 17.072 90.00 90.00 120.00
Fractional positions:
Ge 0.333 0.667 0.105
Ge 0.667 0.333 0.895
Te 0.667 0.333 0.207
Te 0.333 0.667 0.406
Te 0.667 0.333 0.594
Te 0.000 0.000 0.000
Te 0.333 0.667 0.793
As 0.000 0.000 0.316
As 0.000 0.000 0.684

Summary:
DFT total energy ... -3.84 eV/atom
Formation energy without anion corrections ... -0.349 eV per formula unit



(4)
VASP calculation (PBE) on an optimized crystal structure of Ge3Te12As5.

Lattice parameters (Å, degrees): 14.968 14.968 14.968 109.47 109.47 109.47
Fractional positions:
Ge 0.750 0.375 0.125
Ge 0.875 0.750 0.125
Ge 0.375 0.750 0.625
Ge 0.250 0.125 0.375
Ge 0.875 0.125 0.250
Ge 0.375 0.625 0.250
Ge 0.625 0.375 0.750
Ge 0.125 0.875 0.750
Ge 0.750 0.875 0.625
Ge 0.625 0.250 0.375
Ge 0.125 0.250 0.875
Ge 0.250 0.625 0.875
As 0.125 0.375 0.250
As 0.000 0.500 0.000
As 0.000 0.000 0.000
As 0.375 0.250 0.125
As 0.500 0.000 0.500
As 0.500 0.500 0.000
As 0.125 0.750 0.375
As 0.750 0.125 0.875
As 0.750 0.625 0.375
As 0.375 0.125 0.750
As 0.625 0.875 0.250
As 0.500 0.500 0.500
As 0.500 0.000 0.000
As 0.000 0.000 0.500
As 0.250 0.375 0.625
As 0.250 0.875 0.125
As 0.000 0.500 0.500
As 0.875 0.250 0.625
As 0.625 0.750 0.875
As 0.875 0.625 0.750
Te 0.718 0.132 0.046
Te 0.328 0.546 0.414
Te 0.954 0.368 0.282
Te 0.546 0.218 0.132
Te 0.586 0.718 0.672
Te 0.954 0.586 0.172
Te 0.328 0.782 0.414
Te 0.086 0.914 0.132
Te 0.586 0.954 0.672
Te 0.718 0.586 0.172
Te 0.782 0.454 0.368
Te 0.828 0.914 0.046
Te 0.132 0.718 0.546
Te 0.368 0.414 0.086
Te 0.086 0.914 0.368
Te 0.414 0.132 0.586
Te 0.086 0.172 0.218
Te 0.454 0.672 0.086
Te 0.828 0.914 0.282
Te 0.132 0.414 0.086
Te 0.368 0.954 0.782
Te 0.586 0.632 0.414
Te 0.914 0.828 0.546
Te 0.782 0.328 0.914
Te 0.414 0.368 0.586
Te 0.086 0.172 0.454
Te 0.218 0.672 0.086
Te 0.172 0.086 0.718
Te 0.632 0.046 0.218
Te 0.868 0.586 0.914
Te 0.546 0.328 0.914
Te 0.586 0.868 0.414
Te 0.914 0.828 0.782
Te 0.914 0.086 0.632
Te 0.868 0.282 0.454
Te 0.172 0.086 0.954
Te 0.632 0.586 0.914
Te 0.414 0.046 0.328
Te 0.282 0.414 0.828
Te 0.218 0.546 0.632
Te 0.914 0.086 0.868
Te 0.672 0.218 0.586
Te 0.454 0.782 0.868
Te 0.046 0.414 0.828
Te 0.414 0.282 0.328
Te 0.046 0.632 0.718
Te 0.672 0.454 0.586
Te 0.282 0.868 0.954

Summary:
DFT total energy ... -3.57 eV/atom
Formation energy without anion corrections ... 3.349 eV per formula unit



(5)
VASP calculation (PBE) on an optimized crystal structure of Ge2Te6As.

Lattice parameters (Å, degrees): 7.354 9.346 9.346 75.63 65.15 65.15
Fractional positions:
Ge 0.044 0.634 0.792
Ge 0.456 0.208 0.366
Ge 0.956 0.366 0.208
Ge 0.544 0.792 0.634
Te 0.386 0.663 0.477
Te 0.114 0.523 0.337
Te 0.614 0.337 0.523
Te 0.886 0.477 0.663
Te 0.808 0.918 0.357
Te 0.692 0.643 0.082
Te 0.192 0.082 0.643
Te 0.308 0.357 0.918
Te 0.214 0.758 0.957
Te 0.286 0.043 0.242
Te 0.786 0.242 0.043
Te 0.714 0.957 0.758
As 0.250 0.075 0.925
As 0.750 0.925 0.075

Summary:
DFT total energy ... -3.59 eV/atom
Formation energy without anion corrections ... 0.397 eV per formula unit



(6)
VASP calculation (PBE) on an optimized crystal structure of Th4Ge2TeAs.

Lattice parameters (Å, degrees): 4.326 7.537 7.517 109.27 90.00 90.00
Fractional positions:
Th 0.500 0.269 0.271
Th 0.500 0.731 0.729
Th 0.000 0.258 0.739
Th 0.000 0.742 0.261
Ge 0.500 0.000 0.500
Ge 0.000 0.500 0.500
Te 0.000 0.000 0.000
As 0.500 0.500 0.000

Summary:
DFT total energy ... -6.88 eV/atom
Formation energy without anion corrections ... -8.309 eV per formula unit



(7)
VASP calculation (PBE) on an optimized crystal structure of Th6GeTe3As2.

Lattice parameters (Å, degrees): 4.344 8.830 9.872 105.04 102.71 90.00
Fractional positions:
Th 0.340 0.898 0.681
Th 0.673 0.565 0.347
Th 0.660 0.102 0.319
Th 0.008 0.233 0.016
Th 0.992 0.767 0.984
Th 0.327 0.435 0.653
Ge 0.500 0.000 0.000
Te 0.500 0.500 0.000
Te 0.834 0.167 0.668
Te 0.166 0.833 0.332
As 0.833 0.666 0.665
As 0.167 0.334 0.335

Summary:
DFT total energy ... -6.82 eV/atom
Formation energy without anion corrections ... -14.022 eV per formula unit



(8)
VASP calculation (PBE) on an optimized crystal structure of Th6Ge3TeAs2.

Lattice parameters (Å, degrees): 4.314 8.656 9.655 102.77 102.91 90.00
Fractional positions:
Th 0.325 0.914 0.651
Th 0.666 0.585 0.333
Th 0.675 0.086 0.349
Th 0.001 0.270 0.002
Th 0.999 0.730 0.998
Th 0.334 0.415 0.667
Ge 0.500 0.500 0.000
Ge 0.837 0.167 0.674
Ge 0.163 0.833 0.326
Te 0.500 0.000 0.000
As 0.833 0.667 0.666
As 0.167 0.333 0.334

Summary:
DFT total energy ... -6.96 eV/atom
Formation energy without anion corrections ... -12.718 eV per formula unit



(9)
VASP calculation (PBE) on an optimized crystal structure of Th4GeTe2As.

Lattice parameters (Å, degrees): 4.338 7.498 7.745 108.93 90.00 90.00
Fractional positions:
Th 0.500 0.240 0.217
Th 0.500 0.760 0.783
Th 0.000 0.261 0.782
Th 0.000 0.739 0.218
Ge 0.000 0.000 0.000
Te 0.500 0.000 0.500
Te 0.000 0.500 0.500
As 0.500 0.500 0.000

Summary:
DFT total energy ... -6.78 eV/atom
Formation energy without anion corrections ... -9.048 eV per formula unit



(10)
VASP calculation (PBE) on an optimized crystal structure of Th8Ge3Te4As.

Lattice parameters (Å, degrees): 8.705 8.869 8.706 119.40 120.00 90.00
Fractional positions:
Th 0.239 0.717 0.978
Th 0.239 0.717 0.478
Th 0.261 0.283 0.522
Th 0.739 0.717 0.978
Th 0.261 0.283 0.022
Th 0.739 0.717 0.478
Th 0.761 0.283 0.522
Th 0.761 0.283 0.022
Ge 0.500 0.500 0.000
Ge 0.500 0.500 0.500
Ge 0.000 0.500 0.500
Te 0.500 0.000 0.000
Te 0.500 0.000 0.500
Te 0.000 0.000 0.000
Te 0.000 0.000 0.500
As 0.000 0.500 0.000

Summary:
DFT total energy ... -6.72 eV/atom
Formation energy without anion corrections ... -17.150 eV per formula unit



(11)
VASP calculation (PBE) on an optimized crystal structure of Tl2GeTe4As.

Lattice parameters (Å, degrees): 8.850 8.850 8.728 119.54 119.54 90.25
Fractional positions:
Tl 0.500 0.000 0.000
Tl 0.500 0.000 0.500
Tl 0.000 0.000 0.500
Tl 0.500 0.500 0.000
Ge 0.500 0.500 0.500
Ge 0.000 0.000 0.000
Te 0.211 0.733 0.972
Te 0.767 0.289 0.528
Te 0.233 0.711 0.472
Te 0.789 0.267 0.028
Te 0.764 0.736 0.979
Te 0.764 0.736 0.521
Te 0.236 0.264 0.479
Te 0.236 0.264 0.021
As 0.000 0.500 0.000
As 0.000 0.500 0.500

Summary:
DFT total energy ... -3.43 eV/atom
Formation energy without anion corrections ... -0.890 eV per formula unit



(12)
VASP calculation (PBE) on an optimized crystal structure of TlGeTe3As.

Lattice parameters (Å, degrees): 4.142 9.631 9.816 105.02 90.00 90.00
Fractional positions:
Tl 0.250 0.173 0.222
Tl 0.750 0.827 0.778
Ge 0.250 0.114 0.541
Ge 0.750 0.886 0.459
Te 0.750 0.858 0.172
Te 0.250 0.142 0.828
Te 0.250 0.690 0.467
Te 0.750 0.310 0.533
Te 0.750 0.427 0.143
Te 0.250 0.573 0.857
As 0.250 0.640 0.149
As 0.750 0.360 0.851

Summary:
DFT total energy ... -3.62 eV/atom
Formation energy without anion corrections ... -0.680 eV per formula unit